PrSn (PBE, relaxed); raw total energy = -4.210 eV/atom; crystal system = cubic
1.0
4.008 -2.541 1.764
-0.509 -4.811 1.492
2.041 -3.731 -2.747
Sn Pr
1 1
Direct
0.250 0.250 0.250
0.000 0.000 0.000

***

LiTaAlOs (PBE, relaxed); raw total energy = -7.026 eV/atom; crystal system = cubic
1.0
0.000 3.058 3.058
3.058 0.000 3.058
3.058 3.058 0.000
Os Ta Al Li
1 1 1 1
Direct
0.000 0.000 0.000
0.500 0.500 0.500
0.250 0.250 0.250
0.750 0.750 0.750

***

PrHo2Al7Ag2 (PBE, relaxed); raw total energy = -4.289 eV/atom; crystal system = trigonal
1.0
-1.038 -5.649 7.426
3.959 -6.752 5.183
3.301 -2.292 8.484
Al Ho Ag Pr
7 2 2 1
Direct
0.588 0.588 0.076
0.500 0.500 0.500
0.412 0.412 0.924
0.412 0.924 0.412
0.076 0.588 0.588
0.924 0.412 0.412
0.588 0.076 0.588
0.142 0.142 0.142
0.858 0.858 0.858
0.664 0.664 0.664
0.336 0.336 0.336
0.000 0.000 0.000

***

Y3Mg3AgPd2 (PBE, relaxed); raw total energy = -4.695 eV/atom; crystal system = hexagonal
1.0
-4.689 5.551 1.989
2.906 -4.542 5.261
3.159 2.515 0.427
Pd Mg Ag Y
2 3 1 3
Direct
0.667 0.333 0.000
0.333 0.667 0.000
0.748 0.748 0.000
0.000 0.252 0.000
0.252 0.000 0.000
0.000 0.000 0.500
0.582 0.000 0.500
0.000 0.582 0.500
0.418 0.418 0.500

***

LuAlFePd (PBE, relaxed); raw total energy = -5.634 eV/atom; crystal system = cubic
1.0
-2.746 -3.193 1.850
-1.378 0.404 4.370
-4.388 1.008 0.944
Pd Al Fe Lu
1 1 1 1
Direct
0.500 0.500 0.500
0.000 0.000 0.000
0.750 0.750 0.750
0.250 0.250 0.250

***

Tl4SbAsAu2 (PBE, relaxed); raw total energy = -3.145 eV/atom; crystal system = orthorhombic
1.0
-4.860 0.081 -4.319
2.370 -4.938 -2.759
-3.970 -1.463 4.440
Au Tl Sb As
2 4 1 1
Direct
0.767 0.491 0.491
0.233 0.491 0.491
0.500 0.383 0.031
0.000 0.627 0.994
0.500 0.031 0.383
0.000 0.994 0.627
0.500 0.791 0.791
0.000 0.193 0.193

***

CdBi (PBE, relaxed); raw total energy = -2.359 eV/atom; crystal system = cubic
1.0
0.000 3.078 3.078
3.078 0.000 3.078
3.078 3.078 0.000
Bi Cd
1 1
Direct
0.000 0.000 0.000
0.500 0.500 0.500

***

DySiPd (PBE, relaxed); raw total energy = -5.121 eV/atom; crystal system = cubic
1.0
0.000 3.263 3.263
3.263 0.000 3.263
3.263 3.263 0.000
Dy Pd Si
1 1 1
Direct
0.000 0.000 0.000
0.250 0.250 0.250
0.750 0.750 0.750

***

TaTcPt (PBE, relaxed); raw total energy = -9.262 eV/atom; crystal system = cubic; ΔE_f = 0.48 eV per formula unit
1.0
1.965 0.636 3.761
-2.270 1.236 3.425
-0.645 -2.731 3.246
Tc Pt Ta
1 1 1
Direct
0.750 0.750 0.750
0.250 0.250 0.250
0.000 0.000 0.000

***

TbGd2Sn3PdPt2 (PBE, relaxed); raw total energy = -5.853 eV/atom; crystal system = orthorhombic
1.0
4.022 0.000 0.000
0.000 6.559 3.788
0.000 -6.559 3.788
Tb Gd Pd Pt Sn
1 2 1 2 3
Direct
0.000 0.408 0.408
0.000 0.592 0.000
0.000 0.000 0.592
0.000 0.000 0.000
0.500 0.667 0.333
0.500 0.333 0.667
0.500 0.742 0.742
0.500 0.000 0.258
0.500 0.258 0.000

***

HoF3 (PBE, relaxed); raw total energy = -6.526 eV/atom; crystal system = trigonal
1.0
-1.595 -1.701 4.352
4.843 0.397 -0.870
-0.091 7.151 2.762
F Ho
9 3
Direct
0.349 0.324 0.827
0.025 0.676 0.173
0.311 0.000 0.500
0.689 0.689 0.500
0.975 0.651 0.827
0.676 0.025 0.827
0.651 0.975 0.173
0.324 0.349 0.173
0.000 0.311 0.500
0.000 0.000 0.000
0.667 0.333 0.335
0.333 0.667 0.665

***

Pr2Sm2O5 (PBE, relaxed); raw total energy = -7.159 eV/atom; crystal system = tetragonal
1.0
-5.394 4.634 -1.735
-2.955 -2.520 2.456
0.957 2.510 3.727
O Sm Pr
5 2 2
Direct
0.216 0.500 0.000
0.216 0.000 0.500
0.784 0.000 0.500
0.784 0.500 0.000
0.500 0.500 0.500
0.000 0.000 0.000
0.500 0.000 0.000
0.791 0.500 0.500
0.209 0.500 0.500

***

raw total energy of number 11 (HoF3)?
-6.526 eV/atom